[1]
Density functional theory data (GGA-PBE) for a relaxed SmNbAl crystal.

Its size of the total moment is 3.0 μB/f.u. The uncorrected energy is -5.092 eV/atom. The excess energy over the best structure of this formula in the dataset is 404.2 meV/atom.

The space group is F-43m (No. 216) and the conventional cell measures 6.943, 6.943 and 6.943 Å, with angles of 90.00, 90.00 and 90.00 degrees. The distinct sites, in fractional coordinates, are Sm at (0.000, 0.000, 0.000), Nb at (0.250, 0.250, 0.250) and Al at (0.250, 0.250, 0.750).

=====

[2]
Density functional theory data (GGA-PBE) for a relaxed Ni3Ge4S crystal.

Its size of the total moment is 0.0 μB/f.u. The uncorrected energy is -4.933 eV/atom.

The space group is Pm (No. 6) and the conventional cell measures 5.771, 3.402 and 6.282 Å, with angles of 90.00, 91.84 and 90.00 degrees. The distinct sites, in fractional coordinates, are Ni at (0.000, 0.000, 0.000), Ni at (0.014, 0.500, 0.622), Ni at (0.506, 0.500, 0.531), Ge at (0.170, 0.500, 0.249), Ge at (0.295, 0.000, 0.710), Ge at (0.714, 0.500, 0.868), Ge at (0.807, 0.000, 0.398) and S at (0.504, 0.000, 0.073).

=====

[3]
Density functional theory data (GGA-PBE) for a relaxed SrErAl4Pd2 crystal.

Its size of the total moment is 0.0 μB/f.u. The uncorrected energy is -4.607 eV/atom.

The space group is Amm2 (No. 38) and the conventional cell measures 7.264, 4.275 and 10.357 Å, with angles of 90.00, 90.00 and 90.00 degrees. The distinct sites, in fractional coordinates, are Sr at (0.000, 0.000, 0.000), Er at (0.500, 0.000, 0.874), Al at (0.201, 0.000, 0.284), Al at (0.312, 0.000, 0.592), Pd at (0.000, 0.000, 0.721) and Pd at (0.500, 0.000, 0.152).

=====

[4]
Density functional theory data (GGA-PBE) for a relaxed Er2Tl8Pd crystal.

Its size of the total moment is 0.0 μB/f.u. The uncorrected energy is -3.184 eV/atom.

The space group is P4/mmm (No. 123) and the conventional cell measures 4.824, 4.824 and 12.426 Å, with angles of 90.00, 90.00 and 90.00 degrees. The distinct sites, in fractional coordinates, are Er at (0.000, 0.000, 0.190), Tl at (0.000, 0.500, 0.000), Tl at (0.000, 0.500, 0.371), Tl at (0.500, 0.500, 0.185) and Pd at (0.000, 0.000, 0.500).

=====

[5]
Density functional theory data (GGA-PBE) for a relaxed YErTlCo2 crystal.

Its size of the total moment is 1.4 μB/f.u. The uncorrected energy is -5.817 eV/atom.

The space group is Amm2 (No. 38) and the conventional cell measures 3.843, 3.812 and 14.029 Å, with angles of 90.00, 90.00 and 90.00 degrees. The distinct sites, in fractional coordinates, are Y at (0.000, 0.000, 0.000), Er at (0.000, 0.000, 0.279), Tl at (0.500, 0.000, 0.640), Co at (0.500, 0.000, 0.431) and Co at (0.500, 0.000, 0.844).

=====

[6]
Density functional theory data (GGA-PBE) for a relaxed La2Nd2CBrCl4 crystal.

Its size of the total moment is 0.4 μB/f.u. The uncorrected energy is -5.436 eV/atom.

The space group is C2/m (No. 12) and the conventional cell measures 17.960, 3.955 and 8.369 Å, with angles of 90.00, 105.74 and 90.00 degrees. The distinct sites, in fractional coordinates, are La at (0.149, 0.000, 0.092), Nd at (0.001, 0.500, 0.794), C at (0.000, 0.000, 0.000), Br at (0.000, 0.000, 0.500), Cl at (0.162, 0.500, 0.347) and Cl at (0.168, 0.500, 0.846).

=====

[7]
Density functional theory data (GGA-PBE) for a relaxed TlGeAu3S4 crystal.

The uncorrected energy is -3.801 eV/atom. The excess energy over the best structure of this formula in the dataset is 0.0 meV/atom.

The space group is P2_1/m (No. 11) and the conventional cell measures 6.123, 7.210 and 10.257 Å, with angles of 90.00, 100.37 and 90.00 degrees. The distinct sites, in fractional coordinates, are Tl at (0.180, 0.250, 0.368), Ge at (0.082, 0.250, 0.769), Au at (0.374, 0.548, 0.104), Au at (0.499, 0.250, 0.635), S at (0.058, 0.750, 0.037), S at (0.149, 0.750, 0.426) and S at (0.284, 0.510, 0.753).

=====

[8]
Density functional theory data (GGA-PBE) for a relaxed AlZnIr crystal.

Its size of the total moment is 0.0 μB/f.u. The uncorrected energy is -4.996 eV/atom.

The space group is F-43m (No. 216) and the conventional cell measures 5.889, 5.889 and 5.889 Å, with angles of 90.00, 90.00 and 90.00 degrees. The distinct sites, in fractional coordinates, are Al at (0.000, 0.000, 0.000), Zn at (0.000, 0.000, 0.500) and Ir at (0.250, 0.250, 0.250).